DFT (PBE) results for crystalline Be2AlF8 at its relaxed geometry.

- Raw formation energy: -2.9252 eV/atom

abc: 4.5908 5.3960 5.3960
angles: 92.77 89.41 89.41
Closest atoms and distances in Å follow each position.
Fractional positions:
Be  0.3995  0.2294  0.2294  4 F 1.53-1.61
Be  0.6005  0.7706  0.7706  4 F 1.53-1.61
Al  0.0000  0.0000  0.0000  6 F 1.83-1.84
F  0.7766  0.0192  0.7217  1 Be 1.61
F  0.2234  0.2783  0.9808  1 Be 1.61
F  0.7245  0.1816  0.1816  1 Be 1.53
F  0.2755  0.8184  0.8184  1 Be 1.53
F  0.7766  0.7217  0.0192  1 Be 1.61
F  0.2234  0.9808  0.2783  1 Be 1.61
F  0.3170  0.4344  0.4344  1 Be 1.57
F  0.6830  0.5656  0.5656  1 Be 1.57